# 1
First-principles (PBE-GGA) data for crystalline EuYGaAu at its relaxed geometry, as listed in Alexandria.

Cell: 5.1961 5.1961 5.1961 Å, 60.00 60.00 60.00°
Closest atoms and distances in Å follow each position.
Sites, in units of the cell vectors:
1 Au 0.0000 0.0000 0.0000  4 Eu 3.18, 4 Y 3.18
2 Eu 0.2500 0.2500 0.2500  4 Au 3.18, 4 Ga 3.18
3 Y 0.7500 0.7500 0.7500  4 Ga 3.18, 4 Au 3.18
4 Ga 0.5000 0.5000 0.5000  4 Eu 3.18, 4 Y 3.18

As for the density of states at the Fermi level: 9.0 states/eV/f.u. As for the formation energy: -0.63 eV per atom. Its space group is No. 216.

# 2
First-principles (PBE-GGA) data for crystalline Ni2Os at its relaxed geometry, as listed in Alexandria.

Cell: 2.5239 3.8691 16.0818 Å, 90.00 90.00 90.00°
Closest atoms and distances in Å follow each position.
Sites, in units of the cell vectors:
1 Ni 0.5000 0.7500 0.5391  5 Ni 2.31-2.52, 4 Os 2.58
2 Ni 0.0000 0.7500 0.9609  5 Ni 2.31-2.52, 4 Os 2.58
3 Ni 0.0000 0.2500 0.0391  5 Ni 2.31-2.52, 4 Os 2.58
4 Ni 0.0000 0.7500 0.8145  5 Ni 2.35-2.52, 4 Os 2.61
5 Ni 0.5000 0.7500 0.6855  5 Ni 2.35-2.52, 4 Os 2.61
6 Ni 0.5000 0.2500 0.3145  5 Ni 2.35-2.52, 4 Os 2.61
7 Ni 0.5000 0.2500 0.4609  5 Ni 2.31-2.52, 4 Os 2.58
8 Ni 0.0000 0.2500 0.1855  5 Ni 2.35-2.52, 4 Os 2.61
9 Os 0.5000 0.2500 0.8898  2 Os 2.52, 10 Ni 2.58-2.71
10 Os 0.0000 0.7500 0.3898  2 Os 2.52, 10 Ni 2.58-2.71
11 Os 0.5000 0.7500 0.1102  2 Os 2.52, 10 Ni 2.58-2.71
12 Os 0.0000 0.2500 0.6102  2 Os 2.52, 10 Ni 2.58-2.71

As for the density of states at the Fermi level: 4.4 states/eV/f.u. As for the formation energy: 0.39 eV per atom. Its space group is No. 74.

# 3
First-principles (PBE-GGA) data for crystalline Ca2BRu4 at its relaxed geometry, as listed in Alexandria.

Cell: 4.1788 4.1788 7.9035 Å, 74.67 74.67 90.00°
Closest atoms and distances in Å follow each position.
Sites, in units of the cell vectors:
1 Ru 0.8636 0.8636 0.2728  1 B 2.00
2 Ru 0.0000 0.5000 0.0000  2 B 2.09
3 Ru 0.5000 0.0000 0.0000  2 B 2.09
4 Ru 0.1364 0.1364 0.7272  1 B 2.00
5 B 0.0000 0.0000 0.0000  6 Ru 2.00-2.09
6 Ca 0.6510 0.6510 0.6979  9 Ru 2.96-3.12
7 Ca 0.3490 0.3490 0.3021  9 Ru 2.96-3.12

As for the density of states at the Fermi level: 8.0 states/eV/f.u. As for the formation energy: 0.31 eV per atom. Its space group is No. 139.

# 4
First-principles (PBE-GGA) data for crystalline NaIrRu at its relaxed geometry, as listed in Alexandria.

Cell: 4.4853 4.4853 5.8469 Å, 90.00 90.00 120.00°
Closest atoms and distances in Å follow each position.
Sites, in units of the cell vectors:
1 Na 0.6667 0.3333 0.0000  6 Ru 2.83, 6 Ir 2.89, 2 Na 2.92
2 Na 0.6667 0.3333 0.5000  2 Na 2.92, 6 Ir 3.06, 6 Ru 3.15
3 Ru 0.3333 0.6667 0.8059  1 Ru 2.27
4 Ru 0.3333 0.6667 0.1941  1 Ru 2.27
5 Ir 0.0000 0.0000 0.2210  1 Ir 2.58, 3 Ru 2.59, 3 Na 2.89
6 Ir 0.0000 0.0000 0.7790  1 Ir 2.58, 3 Ru 2.59, 3 Na 2.89

As for the density of states at the Fermi level: 1.9 states/eV/f.u. As for the formation energy: 0.55 eV per atom. Its space group is No. 187.

# 5
First-principles (PBE-GGA) data for crystalline GaHg3 at its relaxed geometry, as listed in Alexandria.

Cell: 5.9249 5.9249 5.9249 Å, 135.87 135.87 64.18°
Closest atoms and distances in Å follow each position.
Sites, in units of the cell vectors:
1 Ga 0.0000 0.0000 0.0000  12 Hg 3.15-3.35
2 Hg 0.7500 0.2500 0.5000  8 Hg 3.15-3.35, 4 Ga 3.35
3 Hg 0.5000 0.5000 0.0000  4 Ga 3.15, 8 Hg 3.35
4 Hg 0.2500 0.7500 0.5000  8 Hg 3.15-3.35, 4 Ga 3.35

As for the density of states at the Fermi level: 1.1 states/eV/f.u. As for the formation energy: 0.06 eV per atom. Its space group is No. 139.

# 6
First-principles (PBE-GGA) data for crystalline Ac3Si4Os2 at its relaxed geometry, as listed in Alexandria.

Cell: 4.3108 6.3416 8.4706 Å, 106.62 90.00 109.87°
Closest atoms and distances in Å follow each position.
Sites, in units of the cell vectors:
1 Si 0.7195 0.4389 0.0821  1 Os 2.42
2 Si 0.8757 0.7513 0.5999  3 Os 2.41-2.44
3 Si 0.1243 0.2487 0.4001  3 Os 2.41-2.44
4 Si 0.2805 0.5611 0.9179  1 Os 2.42
5 Ac 0.0000 0.0000 0.0000  8 Si 3.26-3.62
6 Ac 0.6043 0.2085 0.6941  7 Si 3.15-3.38, 4 Os 3.30-3.52, 1 Ac 3.47
7 Ac 0.3957 0.7915 0.3059  7 Si 3.15-3.38, 4 Os 3.30-3.52, 1 Ac 3.47
8 Os 0.2998 0.5995 0.6415  4 Si 2.41-2.44
9 Os 0.7002 0.4005 0.3585  4 Si 2.41-2.44

As for the density of states at the Fermi level: 6.0 states/eV/f.u. The formation energy from raw total energies comes out at -534.1 meV/atom. Its space group is No. 12.

# 7
First-principles (PBE-GGA) data for crystalline LiYCo2 at its relaxed geometry, as listed in Alexandria.

Cell: 4.4241 4.4241 4.4241 Å, 60.00 60.00 60.00°
Closest atoms and distances in Å follow each position.
Sites, in units of the cell vectors:
1 Li 0.0000 0.0000 0.0000  8 Co 2.71
2 Co 0.7500 0.7500 0.7500  4 Li 2.71, 4 Y 2.71
3 Co 0.2500 0.2500 0.2500  4 Li 2.71, 4 Y 2.71
4 Y 0.5000 0.5000 0.5000  8 Co 2.71

As for the density of states at the Fermi level: 4.2 states/eV/f.u. As for the formation energy: 0.26 eV per atom. Its space group is No. 225.

# 8
First-principles (PBE-GGA) data for crystalline PuCd5Hg6 at its relaxed geometry, as listed in Alexandria.

Cell: 4.8900 9.0614 9.0614 Å, 119.76 105.62 105.62°
Closest atoms and distances in Å follow each position.
Sites, in units of the cell vectors:
1 Hg 0.2629 0.4248 0.1005  7 Cd 3.07-3.31, 1 Pu 3.24
2 Hg 0.7704 0.2697 0.2697  4 Cd 3.02-3.27, 2 Pu 3.20-3.21
3 Hg 0.2296 0.7303 0.7303  4 Cd 3.02-3.27, 2 Pu 3.20-3.21
4 Hg 0.2629 0.1005 0.4248  7 Cd 3.07-3.31, 1 Pu 3.24
5 Hg 0.7371 0.5752 0.8995  7 Cd 3.07-3.31, 1 Pu 3.24
6 Hg 0.7371 0.8995 0.5752  7 Cd 3.07-3.31, 1 Pu 3.24
7 Cd 0.5000 0.1615 0.8385  8 Hg 3.17-3.31, 2 Cd 3.42, 2 Pu 3.52
8 Cd 0.0000 0.6858 0.3142  8 Hg 3.07-3.41, 2 Cd 3.42
9 Cd 0.5000 0.5000 0.5000  8 Hg 3.02-3.13
10 Cd 0.5000 0.8385 0.1615  8 Hg 3.17-3.31, 2 Cd 3.42, 2 Pu 3.52
11 Cd 0.0000 0.3142 0.6858  8 Hg 3.07-3.41, 2 Cd 3.42
12 Pu 0.0000 0.0000 0.0000  8 Hg 3.20-3.24, 4 Cd 3.52

As for the density of states at the Fermi level: 19.0 states/eV/f.u. As for the formation energy: -0.03 eV per atom. Its space group is No. 12.

# 9
First-principles (PBE-GGA) data for crystalline Tb8PmDy4 at its relaxed geometry, as listed in Alexandria.

Cell: 12.3085 7.4608 10.2449 Å, 90.02 146.35 107.62°
Closest atoms and distances in Å follow each position.
Sites, in units of the cell vectors:
1 Dy 0.9999 0.0007 0.9999  8 Tb 3.36-3.59, 2 Dy 3.73
2 Dy 0.5004 0.9989 0.0004  2 Pm 3.41, 8 Tb 3.60-3.65, 2 Dy 3.73
3 Dy 0.4991 0.4984 0.9991  2 Pm 3.40-3.42, 8 Tb 3.59-3.65, 2 Dy 3.73
4 Dy 0.0002 0.5007 0.0002  8 Tb 3.38-3.62, 2 Dy 3.73
5 Tb 0.4780 0.7385 0.6722  4 Dy 3.38-3.65, 6 Tb 3.52-3.74
6 Tb 0.9999 0.2173 0.7126  1 Pm 3.04, 1 Tb 3.24, 1 Dy 3.36
7 Tb 0.5221 0.2609 0.3280  4 Dy 3.38-3.65, 6 Tb 3.52-3.74
8 Tb 0.5223 0.2607 0.7167  4 Dy 3.38-3.65, 6 Tb 3.52-3.74
9 Tb 0.0003 0.2176 0.2875  1 Pm 3.04, 1 Tb 3.24, 1 Dy 3.36
10 Tb 0.4779 0.7387 0.2835  4 Dy 3.38-3.65, 6 Tb 3.52-3.74
11 Tb 0.0000 0.7833 0.7130  1 Pm 3.03, 1 Tb 3.24, 1 Dy 3.36
12 Tb 0.0003 0.7836 0.2875  1 Pm 3.03, 1 Tb 3.24, 1 Dy 3.36
13 Pm 0.9994 0.5006 0.4994  4 Tb 3.03-3.04

As for the density of states at the Fermi level: 20.1 states/eV/f.u. As for the formation energy: 0.25 eV per atom. Its space group is No. 5.

# 10
First-principles (PBE-GGA) data for crystalline TbAl2Ni at its relaxed geometry, as listed in Alexandria.

Cell: 4.0645 5.5332 6.9001 Å, 90.00 90.00 111.63°
Closest atoms and distances in Å follow each position.
Sites, in units of the cell vectors:
1 Ni 0.2161 0.4322 0.2500  6 Al 2.46-2.51
2 Ni 0.7839 0.5678 0.7500  6 Al 2.46-2.51
3 Al 0.6596 0.3189 0.4450  3 Ni 2.46-2.51, 1 Al 2.69
4 Al 0.6596 0.3189 0.0550  3 Ni 2.46-2.51, 1 Al 2.69
5 Al 0.3404 0.6811 0.5550  3 Ni 2.46-2.51, 1 Al 2.69
6 Al 0.3404 0.6811 0.9450  3 Ni 2.46-2.51, 1 Al 2.69
7 Tb 0.9408 0.8804 0.2500  3 Ni 2.84-3.07, 4 Al 3.10
8 Tb 0.0592 0.1196 0.7500  3 Ni 2.84-3.07, 4 Al 3.10

As for the density of states at the Fermi level: 1.9 states/eV/f.u. As for the formation energy: -0.64 eV per atom. Its space group is No. 11.